A relaxed KInOsC2 crystal. Source: Alexandria, functional PBE.

Cell: 4.3444 4.3444 5.5914 Å, 90.00 90.00 90.00°
Fractional positions:
Os: 0.0000 0.0000 0.5000
C: 0.0000 0.5000 0.0000
K: 0.0000 0.0000 0.0000
In: 0.5000 0.5000 0.5000
C: 0.5000 0.0000 0.0000

## Properties
For the formation energy from the elements, the calculation gives 19.6 eV per formula unit. The calculation puts the raw total energy at -2.787 eV/atom.